VASP calculation (PBE-GGA) on InAsRuCl after structural relaxation.

Cell: 3.722 3.723 7.885 Å, 89.75 89.59 60.03°
Space group P1 (No. 1)
Inequivalent atoms, fractional coordinates:
In 0.000 0.000 0.000 [1 per cell]
As 0.329 0.333 0.299 [1 per cell]
Ru 0.994 0.999 0.423 [1 per cell]
Cl 0.658 0.665 0.628 [1 per cell]

As for the uncorrected formation energy: -0.139 eV/atom. As for the density of states at the Fermi level: 1.9 states/eV/f.u. As for the energy above the most stable polymorph in this dataset: 0.171 eV per atom.